No. 1
Computed, not measured: Na3Pm2CdO6 after structural relaxation at the PBE-GGA level of DFT.

Lattice parameters (Å, degrees): 6.034 6.034 5.985 99.53 99.53 120.05
Positions (direct):
O1 0.738 0.738 0.223
O2 0.262 0.262 0.777
O3 0.074 0.406 0.224
Cd1 0.000 0.000 0.000
Na1 0.155 0.845 0.500
Na2 0.500 0.500 0.500
Na3 0.845 0.155 0.500
O4 0.926 0.594 0.776
Pm1 0.333 0.667 0.000
O5 0.594 0.926 0.776
O6 0.406 0.074 0.224
Pm2 0.667 0.333 0.000

Properties
The calculation puts the total energy at -68.931 eV for the cell shown. Its crystal system is monoclinic. Its space group is C2/m, No. 12. The energy relative to the elements, uncorrected comes out at -2394 kJ/mol of formula units.



No. 2
Computed, not measured: Ta2InSi after structural relaxation at the PBE-GGA level of DFT.

Lattice parameters (Å, degrees): 4.721 2.920 5.306 80.34 90.00 90.00
Positions (direct):
Si1 0.500 0.742 0.790
In1 0.000 0.582 0.485
Ta1 0.500 0.179 0.250
Ta2 0.000 0.997 0.974

Properties
The calculation puts the total energy at -31.277 eV for the cell shown. Its crystal system is monoclinic. Its space group is Pm, No. 6. The energy relative to the elements, uncorrected comes out at 57 kJ/mol of formula units.



No. 3
Computed, not measured: MgSi2Rh after structural relaxation at the PBE-GGA level of DFT.

Lattice parameters (Å, degrees): 4.379 4.379 4.379 60.00 60.00 60.00
Positions (direct):
Mg1 0.500 0.500 0.500
Rh1 0.250 0.250 0.250
Si1 0.000 0.000 0.000
Si2 0.750 0.750 0.750

Properties
The calculation puts the total energy at -20.034 eV for the cell shown. Its crystal system is cubic. Its space group is F-43m, No. 216. The energy relative to the elements, uncorrected comes out at -23 kJ/mol of formula units.